MgCuHPd2 | PBE-GGA | relaxed

The structure belongs to space group P4/mmm (No. 123); the cell edges are 4.0541, 4.0541 and 3.7140 Å and the angles 90.00°, 90.00° and 90.00°. The distinct sites, in fractional coordinates, are Mg at (0.0000, 0.0000, 0.0000), Cu at (0.5000, 0.5000, 0.0000), H at (0.5000, 0.5000, 0.5000) and Pd at (0.0000, 0.5000, 0.5000).

Na2ScCuH6 | PBE-GGA | relaxed

The structure belongs to space group Fm-3m (No. 225); the cell edges are 7.5839, 7.5839 and 7.5839 Å and the angles 90.00°, 90.00° and 90.00°. The distinct sites, in fractional coordinates, are Na at (0.2500, 0.2500, 0.2500), Sc at (0.0000, 0.0000, 0.0000), Cu at (0.0000, 0.0000, 0.5000) and H at (0.0000, 0.0000, 0.2604).

CuNiH6 | PBE-GGA | relaxed

The structure belongs to space group P-1 (No. 2); the cell edges are 4.1457, 4.1493 and 4.2086 Å and the angles 119.41°, 90.11° and 119.93°. The distinct sites, in fractional coordinates, are Cu at (0.0000, 0.0000, 0.0000), Ni at (0.5000, 0.0000, 0.5000), H at (0.1116, 0.8567, 0.2614), H at (0.2544, 0.8510, 0.7380) and H at (0.4027, 0.5161, 0.2619).

Sr2CuNiH6 | PBE-GGA | relaxed

The structure belongs to space group Fm-3m (No. 225); the cell edges are 7.3863, 7.3863 and 7.3863 Å and the angles 90.00°, 90.00° and 90.00°. The distinct sites, in fractional coordinates, are Sr at (0.2500, 0.2500, 0.2500), Cu at (0.0000, 0.0000, 0.0000), Ni at (0.0000, 0.0000, 0.5000) and H at (0.0000, 0.0000, 0.2613).

Y2CuNiH6 | PBE-GGA | relaxed

The structure belongs to space group Fm-3m (No. 225); the cell edges are 7.0828, 7.0828 and 7.0828 Å and the angles 90.00°, 90.00° and 90.00°. The distinct sites, in fractional coordinates, are Y at (0.2500, 0.2500, 0.2500), Cu at (0.0000, 0.0000, 0.0000), Ni at (0.0000, 0.0000, 0.5000) and H at (0.0000, 0.0000, 0.2587).

ZnCuNi2H | PBE-GGA | relaxed

The structure belongs to space group P4/mmm (No. 123); the cell edges are 3.6503, 3.6503 and 3.6442 Å and the angles 90.00°, 90.00° and 90.00°. The distinct sites, in fractional coordinates, are Zn at (0.0000, 0.0000, 0.0000), Cu at (0.5000, 0.5000, 0.0000), Ni at (0.0000, 0.5000, 0.5000) and H at (0.5000, 0.5000, 0.5000).

Sr2CuH6Os | PBE-GGA | relaxed

The structure belongs to space group Fm-3m (No. 225); the cell edges are 7.5859, 7.5859 and 7.5859 Å and the angles 90.00°, 90.00° and 90.00°. The distinct sites, in fractional coordinates, are Sr at (0.2500, 0.2500, 0.2500), Cu at (0.0000, 0.0000, 0.0000), H at (0.0000, 0.0000, 0.2659) and Os at (0.0000, 0.0000, 0.5000).

CuH6Pd2 | PBE-GGA | relaxed

The structure belongs to space group Fm-3m (No. 225); the cell edges are 6.2857, 6.2857 and 6.2857 Å and the angles 90.00°, 90.00° and 90.00°. The distinct sites, in fractional coordinates, are Cu at (0.0000, 0.0000, 0.0000), H at (0.0000, 0.0000, 0.2627) and Pd at (0.2500, 0.2500, 0.2500).

Sr2CuH6Pd | PBE-GGA | relaxed

The structure belongs to space group Fm-3m (No. 225); the cell edges are 7.5720, 7.5720 and 7.5720 Å and the angles 90.00°, 90.00° and 90.00°. The distinct sites, in fractional coordinates, are Sr at (0.2500, 0.2500, 0.2500), Cu at (0.0000, 0.0000, 0.0000), H at (0.0000, 0.0000, 0.2454) and Pd at (0.0000, 0.0000, 0.5000).

ZnCuHPd2 | PBE-GGA | relaxed

The structure belongs to space group P4/mmm (No. 123); the cell edges are 4.0123, 4.0123 and 3.6559 Å and the angles 90.00°, 90.00° and 90.00°. The distinct sites, in fractional coordinates, are Zn at (0.0000, 0.0000, 0.0000), Cu at (0.5000, 0.5000, 0.0000), H at (0.5000, 0.5000, 0.5000) and Pd at (0.0000, 0.5000, 0.5000).

PmCuH3 | PBE-GGA | relaxed

The structure belongs to space group P2_1/m (No. 11); the cell edges are 3.8832, 4.6097 and 6.0598 Å and the angles 90.00°, 108.68° and 90.00°. The distinct sites, in fractional coordinates, are Pm at (0.1386, 0.2500, 0.2769), Cu at (0.4259, 0.2500, 0.8531), H at (0.0684, 0.7500, 0.1380) and H at (0.3160, 0.5013, 0.6322).

Rb2TaCuH6 | PBE-GGA | relaxed

The structure belongs to space group P6_3/mmc (No. 194); the cell edges are 4.9593, 4.9593 and 13.1278 Å and the angles 90.00°, 90.00° and 120.00°. The distinct sites, in fractional coordinates, are Rb at (0.3333, 0.6667, 0.0723), Ta at (0.3333, 0.6667, 0.7500), Cu at (0.0000, 0.0000, 0.2500) and H at (0.1709, 0.3417, 0.6566).

Sr2ScCuH6 | PBE-GGA | relaxed

The structure belongs to space group Fm-3m (No. 225); the cell edges are 7.8483, 7.8483 and 7.8483 Å and the angles 90.00°, 90.00° and 90.00°. The distinct sites, in fractional coordinates, are Sr at (0.2500, 0.2500, 0.2500), Sc at (0.0000, 0.0000, 0.0000), Cu at (0.0000, 0.0000, 0.5000) and H at (0.0000, 0.0000, 0.2628).

SrCuH3 | PBE-GGA | relaxed

The structure belongs to space group Pm-3m (No. 221); the cell edges are 3.7322, 3.7322 and 3.7322 Å and the angles 90.00°, 90.00° and 90.00°. The distinct sites, in fractional coordinates, are Sr at (0.0000, 0.0000, 0.0000), Cu at (0.5000, 0.5000, 0.5000) and H at (0.0000, 0.5000, 0.5000).

SrCuH3 | PBE-GGA | relaxed

The structure belongs to space group P2_1 (No. 4); the cell edges are 4.9147, 4.5081 and 5.9853 Å and the angles 90.00°, 113.99° and 90.00°. The distinct sites, in fractional coordinates, are Sr at (0.1451, 0.0000, 0.2889), Cu at (0.4313, 0.9595, 0.8630), H at (0.0798, 0.0112, 0.6880), H at (0.3947, 0.5107, 0.3151) and H at (0.4262, 0.5837, 0.8549).

SrCuH3 | PBE-GGA | relaxed

The structure belongs to space group Pm-3m (No. 221); the cell edges are 3.7319, 3.7319 and 3.7319 Å and the angles 90.00°, 90.00° and 90.00°. The distinct sites, in fractional coordinates, are Sr at (0.0000, 0.0000, 0.0000), Cu at (0.5000, 0.5000, 0.5000) and H at (0.0000, 0.5000, 0.5000).

Sr2TaCuH6 | PBE-GGA | relaxed

The structure belongs to space group R3 (No. 146, hexagonal axes); the cell edges are 5.3000, 5.3000 and 15.9665 Å and the angles 90.00°, 90.00° and 120.00°. The distinct sites, in fractional coordinates, are Sr at (0.0000, 0.0000, 0.0000), Sr at (0.0000, 0.0000, 0.4964), Ta at (0.0000, 0.0000, 0.2782), Cu at (0.0000, 0.0000, 0.6750), H at (0.0252, 0.5178, 0.0339) and H at (0.1716, 0.3442, 0.8705).

CuTeH | PBE-GGA | relaxed

The structure belongs to space group P-1 (No. 2); the cell edges are 3.1896, 4.0091 and 10.2323 Å and the angles 100.81°, 97.18° and 90.02°. The distinct sites, in fractional coordinates, are Cu at (0.2397, 0.2370, 0.4732), Te at (0.1714, 0.6560, 0.3040) and H at (0.4509, 0.9903, 0.0307).

Zr2CuH5 | PBE-GGA | relaxed

The structure belongs to space group C2/m (No. 12); the cell edges are 10.8101, 3.6482 and 8.2346 Å and the angles 90.00°, 123.33° and 90.00°. The distinct sites, in fractional coordinates, are Zr at (0.0808, 0.0000, 0.3437), Zr at (0.1735, 0.5000, 0.0747), Cu at (0.1228, 0.5000, 0.6509), H at (0.0349, 0.5000, 0.1726), H at (0.1180, 0.0000, 0.6399), H at (0.1357, 0.0000, 0.9239), H at (0.1837, 0.0000, 0.2019) and H at (0.1840, 0.5000, 0.4797).

Hf2Cu | PBE-GGA | relaxed

The structure belongs to space group Fd-3m (No. 227, origin choice 2); the cell edges are 7.8838, 7.8838 and 7.8838 Å and the angles 90.00°, 90.00° and 90.00°. The distinct sites, in fractional coordinates, are Hf at (0.0000, 0.0000, 0.0000) and Cu at (0.1250, 0.1250, 0.6250).

The value obtained for the formation energy is 0.72 eV per atom.

no.,raw total energy (eV/atom)
1,-4.204
2,-3.358
3,-3.351
4,-3.651
5,-4.588
6,-4.043
7,-4.210
8,-3.469
9,-3.655
10,-4.046
11,-4.142
12,-3.772
13,-3.613
14,-3.410
15,-3.445
16,-3.410
17,-4.086
18,-3.461
19,-5.087
20,-7.160